As2Se2Br: optimized geometry, PBE-GGA.

Values from the calculation:
Uncorrected energy: -3.6364 eV/atom
Relative energy among the computed polymorphs: 0.00 kcal/mol of atoms
Energy relative to the elements, uncorrected: -0.05 eV/atom

Lattice parameters (Å, degrees): 3.9690 3.9690 31.5481 90.00 90.00 120.00
Closest atoms and distances in Å follow each position.
Space group R-3m (No. 166, hexagonal axes)
Inequivalent atoms, fractional coordinates:
As: 0.0000 0.0000 0.1014 x6  3 Se 2.60
Se: 0.0000 0.0000 0.2712 x6  3 As 2.60
Br: 0.0000 0.0000 0.5000 x3  6 As 3.08



Re2Bi2Pt: optimized geometry, PBE-GGA.

Values from the calculation:
Uncorrected energy: -6.4774 eV/atom
Relative energy among the computed polymorphs: 14.56 kcal/mol of atoms
Formation energy: 1.26 eV/atom

Lattice parameters (Å, degrees): 7.9793 7.9793 3.1408 90.00 90.00 90.00
Closest atoms and distances in Å follow each position.
Space group P4/mbm (No. 127)
Inequivalent atoms, fractional coordinates:
Re: 0.1449 0.3551 0.0000 x4  6 Bi 2.76-2.86
Bi: 0.1540 0.6540 0.5000 x4  6 Re 2.76-2.86, 2 Pt 3.02
Pt: 0.0000 0.0000 0.5000 x2  4 Bi 3.02, 2 Pt 3.14